Below is a relaxed PuPaPt crystal, with properties calculated at the PBE level.

**ΔE_f**: -0.57 eV per atom
**V**: 65 Å³/cell
**Energy above the lowest structure with this stoichiometry**: 14 meV per atom

Unit cell a=3.6282 b=3.6282 c=5.5710 alpha=108.98 beta=108.98 gamma=90.06
With the nearest neighbours (Å) after each atom.
Atoms (fractional coordinates):
Pu  0.0006  0.0006  0.0012  5 Pa 3.08-3.24, 5 Pt 3.09-3.22
Pa  0.6730  0.6730  0.3461  4 Pt 2.98, 5 Pu 3.08-3.24
Pt  0.3264  0.3264  0.6528  4 Pa 2.98, 5 Pu 3.09-3.22



Below is a relaxed Pu3PaPt3 crystal, with properties calculated at the PBE level.

**ΔE_f**: -0.62 eV per atom
**V**: 298 Å³/cell
**Energy above the lowest structure with this stoichiometry**: 0 meV per atom

Unit cell a=7.2593 b=7.2593 c=5.7103 alpha=92.37 beta=92.37 gamma=82.55
With the nearest neighbours (Å) after each atom.
Atoms (fractional coordinates):
Pu  0.6445  0.6445  0.4934  2 Pu 2.66, 2 Pt 2.93
Pu  0.2771  0.7229  0.5000  4 Pu 2.66-2.88
Pu  0.7229  0.2771  0.5000  4 Pu 2.66-2.88
Pu  0.3174  0.6826  0.0000  2 Pu 2.88, 2 Pt 3.05
Pu  0.6826  0.3174  0.0000  2 Pu 2.88, 2 Pt 3.05
Pu  0.3555  0.3555  0.5066  2 Pu 2.66, 2 Pt 2.93
Pa  0.8273  0.8273  0.1238  4 Pt 2.75-2.88, 1 Pu 2.98
Pa  0.1727  0.1727  0.8762  4 Pt 2.75-2.88, 1 Pu 2.98
Pt  0.0776  0.0776  0.3123  2 Pa 2.75-2.88, 3 Pt 2.80-2.94, 2 Pu 3.00
Pt  0.9916  0.5201  0.7535  1 Pa 2.79, 3 Pt 2.84-2.94, 4 Pu 2.93-3.12
Pt  0.5201  0.9916  0.7535  1 Pa 2.79, 3 Pt 2.84-2.94, 4 Pu 2.93-3.12
Pt  0.0084  0.4799  0.2465  1 Pa 2.79, 3 Pt 2.84-2.94, 4 Pu 2.93-3.12
Pt  0.4799  0.0084  0.2465  1 Pa 2.79, 3 Pt 2.84-2.94, 4 Pu 2.93-3.12
Pt  0.9224  0.9224  0.6877  2 Pa 2.75-2.88, 3 Pt 2.80-2.94, 2 Pu 3.00



Below is a relaxed Pu4PaPt5 crystal, with properties calculated at the PBE level.

**ΔE_f**: -0.75 eV per atom
**V**: 218 Å³/cell
**Energy above the lowest structure with this stoichiometry**: 14 meV per atom

Unit cell a=3.5314 b=3.5314 c=17.4608 alpha=90.00 beta=90.00 gamma=90.00
With the nearest neighbours (Å) after each atom.
Atoms (fractional coordinates):
Pu  0.0000  0.0000  0.2017  8 Pt 3.04-3.15
Pu  0.0000  0.0000  0.4002  8 Pt 3.04
Pu  0.0000  0.0000  0.5998  8 Pt 3.04
Pu  0.0000  0.0000  0.7983  8 Pt 3.04-3.15
Pa  0.0000  0.0000  0.0000  8 Pt 2.97
Pt  0.5000  0.5000  0.0920  4 Pa 2.97, 4 Pu 3.15, 1 Pt 3.21
Pt  0.5000  0.5000  0.3009  8 Pu 3.04
Pt  0.5000  0.5000  0.5000  8 Pu 3.04
Pt  0.5000  0.5000  0.6991  8 Pu 3.04
Pt  0.5000  0.5000  0.9080  4 Pa 2.97, 4 Pu 3.15, 1 Pt 3.21



Below is a relaxed Pu5PaPt6 crystal, with properties calculated at the PBE level.

**ΔE_f**: -0.72 eV per atom
**V**: 291 Å³/cell
**Energy above the lowest structure with this stoichiometry**: 10 meV per atom

Unit cell a=7.0243 b=7.1307 c=7.1365 alpha=60.03 beta=80.24 gamma=70.16
With the nearest neighbours (Å) after each atom.
Atoms (fractional coordinates):
Pu  0.5000  0.1698  0.6604  6 Pt 2.89-2.95
Pu  0.0000  0.3348  0.3304  6 Pt 2.90-2.91
Pu  0.5000  0.5000  0.0000  6 Pt 2.90-2.97
Pu  0.0000  0.6652  0.6696  6 Pt 2.90-2.91
Pu  0.5000  0.8302  0.3396  6 Pt 2.89-2.95
Pa  0.0000  0.0000  0.0000  6 Pt 2.81-2.83
Pt  0.7568  0.0805  0.3240  1 Pa 2.81, 5 Pu 2.89-2.95
Pt  0.2432  0.5956  0.3240  1 Pa 2.81, 5 Pu 2.89-2.95
Pt  0.2480  0.2399  0.0000  1 Pa 2.83, 5 Pu 2.90-2.97
Pt  0.7520  0.7601  0.0000  1 Pa 2.83, 5 Pu 2.90-2.97
Pt  0.7568  0.4044  0.6760  1 Pa 2.81, 5 Pu 2.89-2.95
Pt  0.2432  0.9195  0.6760  1 Pa 2.81, 5 Pu 2.89-2.95



Below is a relaxed PuPaPt crystal, with properties calculated at the PBE level.

**ΔE_f**: -0.58 eV per atom
**V**: 126 Å³/cell
**Energy above the lowest structure with this stoichiometry**: 0 meV per atom

Unit cell a=3.4552 b=5.3535 c=9.3690 alpha=48.79 beta=100.60 gamma=90.00
With the nearest neighbours (Å) after each atom.
Atoms (fractional coordinates):
Pu  0.6308  0.8867  0.4932  3 Pa 2.78-3.04, 2 Pt 3.02
Pu  0.8097  0.9988  0.8524  2 Pa 2.80, 2 Pt 2.95
Pa  0.4710  0.6501  0.1741  3 Pu 2.80-3.04, 4 Pt 2.90-3.09
Pa  0.2898  0.5510  0.8109  2 Pu 2.78, 2 Pt 2.86
Pt  0.1349  0.3926  0.5021  2 Pa 2.90, 4 Pu 2.95-3.11, 1 Pt 3.10
Pt  0.9568  0.1614  0.1452  4 Pa 2.86-3.09, 2 Pu 3.02, 1 Pt 3.10



Below is a relaxed Pu6PaPt5 crystal, with properties calculated at the PBE level.

**ΔE_f**: -0.60 eV per atom
**V**: 261 Å³/cell

Unit cell a=5.0146 b=6.7862 c=8.7531 alpha=112.82 beta=106.66 gamma=89.97
With the nearest neighbours (Å) after each atom.
Atoms (fractional coordinates):
Pa  0.0000  0.0000  0.0000  8 Pu 3.11-3.19, 6 Pt 3.39-3.40
Pt  0.3503  0.8503  0.7006  8 Pu 2.95-3.16
Pt  0.6713  0.6713  0.3426  8 Pu 2.97-3.05
Pt  0.0000  0.5000  0.0000  8 Pu 2.95-3.11
Pt  0.3287  0.3287  0.6574  8 Pu 2.97-3.05
Pt  0.6497  0.1497  0.2994  8 Pu 2.95-3.16
Pu  0.1732  0.4345  0.3463  7 Pt 2.97-3.16, 1 Pa 3.19, 1 Pu 3.24
Pu  0.1731  0.9118  0.3463  7 Pt 2.97-3.16, 1 Pa 3.19, 1 Pu 3.24
Pu  0.5001  0.2723  0.0000  6 Pt 2.95-3.05, 1 Pu 3.09, 2 Pa 3.11-3.12
Pu  0.4999  0.7277  0.0000  6 Pt 2.95-3.05, 1 Pu 3.09, 2 Pa 3.11-3.12
Pu  0.8269  0.0882  0.6537  7 Pt 2.97-3.16, 1 Pa 3.19, 1 Pu 3.24
Pu  0.8268  0.5655  0.6537  7 Pt 2.97-3.16, 1 Pa 3.19, 1 Pu 3.24



Below is a relaxed PuPa2Pt3 crystal, with properties calculated at the PBE level.

**ΔE_f**: -0.79 eV per atom
**V**: 252 Å³/cell
**Energy above the lowest structure with this stoichiometry**: 0 meV per atom

Unit cell a=5.1876 b=5.7360 c=8.4744 alpha=90.00 beta=90.00 gamma=90.00
With the nearest neighbours (Å) after each atom.
Atoms (fractional coordinates):
Pu  0.5000  0.5650  0.5116  2 Pu 2.87, 1 Pa 2.95, 3 Pt 3.05-3.11
Pu  0.5000  0.0650  0.4884  2 Pu 2.87, 1 Pa 2.95, 3 Pt 3.05-3.11
Pa  0.5000  0.7320  0.8412  5 Pt 2.80-2.97, 1 Pu 2.95
Pa  0.5000  0.2320  0.1588  5 Pt 2.80-2.97, 1 Pu 2.95
Pa  0.0000  0.2419  0.6837  7 Pt 2.85-3.05
Pa  0.0000  0.7419  0.3163  7 Pt 2.85-3.05
Pt  0.0000  0.4805  0.0029  4 Pt 2.87-3.19, 2 Pa 3.03-3.05
Pt  0.0000  0.9805  0.9971  4 Pt 2.87-3.19, 2 Pa 3.03-3.05
Pt  0.5000  0.7351  0.1711  5 Pa 2.80-2.89, 1 Pu 3.05
Pt  0.5000  0.2351  0.8289  5 Pa 2.80-2.89, 1 Pu 3.05
Pt  0.0000  0.2456  0.3282  5 Pa 2.85-3.01, 1 Pt 3.07, 2 Pu 3.11
Pt  0.0000  0.7456  0.6718  5 Pa 2.85-3.01, 1 Pt 3.07, 2 Pu 3.11



Below is a relaxed Pu8PaPt6 crystal, with properties calculated at the PBE level.

**ΔE_f**: -0.54 eV per atom
**V**: 375 Å³/cell

Unit cell a=8.3937 b=8.3937 c=7.8308 alpha=57.59 beta=57.59 gamma=60.00
With the nearest neighbours (Å) after each atom.
Atoms (fractional coordinates):
Pu  0.5203  0.2394  0.3346  5 Pt 2.93-3.20
Pu  0.7606  0.0943  0.6654  5 Pt 2.93-3.20
Pu  0.0943  0.4797  0.6654  5 Pt 2.93-3.20
Pu  0.6598  0.6598  0.0206  6 Pt 3.03-3.19, 3 Pu 3.38
Pu  0.3402  0.3402  0.9794  6 Pt 3.03-3.19, 3 Pu 3.38
Pu  0.9057  0.5203  0.3346  5 Pt 2.93-3.20
Pu  0.2394  0.9057  0.3346  5 Pt 2.93-3.20
Pu  0.4797  0.7606  0.6654  5 Pt 2.93-3.20
Pa  0.0000  0.0000  0.0000  6 Pt 2.83
Pt  0.3669  0.0668  0.8183  1 Pa 2.83, 5 Pu 2.93-3.04
Pt  0.9332  0.2520  0.1817  1 Pa 2.83, 5 Pu 2.93-3.04
Pt  0.2520  0.6331  0.1817  1 Pa 2.83, 5 Pu 2.93-3.04
Pt  0.7480  0.3669  0.8183  1 Pa 2.83, 5 Pu 2.93-3.04
Pt  0.0668  0.7480  0.8183  1 Pa 2.83, 5 Pu 2.93-3.04
Pt  0.6331  0.9332  0.1817  1 Pa 2.83, 5 Pu 2.93-3.04



Below is a relaxed Pu4Pa3Pt8 crystal, with properties calculated at the PBE level.

**ΔE_f**: -0.63 eV per atom
**V**: 325 Å³/cell

Unit cell a=5.6654 b=8.1931 c=8.1932 alpha=81.66 beta=67.53 gamma=67.53
With the nearest neighbours (Å) after each atom.
Atoms (fractional coordinates):
Pu  0.5000  0.0000  0.0000  2 Pt 2.71, 2 Pu 2.83
Pu  0.0000  0.5000  0.0000  2 Pa 2.83, 8 Pt 2.95-3.15
Pu  0.0000  0.0000  0.0000  2 Pt 2.72, 2 Pu 2.83
Pu  0.0000  0.0000  0.5000  2 Pa 2.83, 8 Pt 2.95-3.15
Pa  0.5000  0.5000  0.0000  2 Pu 2.83, 8 Pt 2.99-3.12
Pa  0.5000  0.0000  0.5000  2 Pu 2.83, 8 Pt 2.99-3.12
Pa  0.5000  0.5000  0.5000  4 Pt 2.64-2.65
Pt  0.7675  0.7073  0.7073  4 Pt 2.85-3.12, 2 Pa 2.99, 3 Pu 3.15
Pt  0.0000  0.2954  0.7046  4 Pt 2.87-3.12, 2 Pa 3.00, 3 Pu 3.14-3.16
Pt  0.2209  0.7475  0.7475  1 Pa 2.65, 3 Pu 2.72-2.95, 2 Pt 2.85-2.88
Pt  0.5000  0.2533  0.7467  1 Pa 2.64, 3 Pu 2.71-2.96, 2 Pt 2.87
Pt  0.5000  0.7467  0.2533  1 Pa 2.64, 3 Pu 2.71-2.96, 2 Pt 2.87
Pt  0.7791  0.2525  0.2525  1 Pa 2.65, 3 Pu 2.72-2.95, 2 Pt 2.85-2.88
Pt  0.0000  0.7046  0.2954  4 Pt 2.87-3.12, 2 Pa 3.00, 3 Pu 3.14-3.16
Pt  0.2325  0.2927  0.2927  4 Pt 2.85-3.12, 2 Pa 2.99, 3 Pu 3.15



Below is a relaxed PuPaPt3 crystal, with properties calculated at the PBE level.

**ΔE_f**: -0.58 eV per atom
**V**: 113 Å³/cell
**Energy above the lowest structure with this stoichiometry**: 317 meV per atom

Unit cell a=5.0808 b=5.0808 c=5.6694 alpha=116.62 beta=116.62 gamma=90.00
With the nearest neighbours (Å) after each atom.
Atoms (fractional coordinates):
Pu  0.0235  0.0235  0.0469  1 Pt 2.99, 1 Pa 3.24
Pa  0.6535  0.6535  0.3070  5 Pt 2.54-2.75
Pt  0.2746  0.7746  0.5492  2 Pt 2.66, 2 Pa 2.75
Pt  0.7746  0.2746  0.5492  2 Pt 2.66, 2 Pa 2.75
Pt  0.3641  0.3641  0.7283  1 Pa 2.54, 4 Pt 2.66



> The lowest V belongs to which entry?

number 1